Entry 1:
This record from OQMD via LeMat-Bulk describes an optimized crystal structure of CuAg. The functional is GGA-PBE.

a = 7.4410 Å, b = 7.4410 Å, c = 7.4558 Å
α = 104.47°, β = 104.47°, γ = 21.89°
Fractional positions:
Cu 0.0000 0.0000 0.0000
Cu 0.1993 0.1993 0.0735
Cu 0.4037 0.4037 0.1762
Cu 0.5963 0.5963 0.8238
Cu 0.8007 0.8007 0.9265
Ag 0.0000 0.0000 0.5000
Ag 0.1992 0.1992 0.6254
Ag 0.3974 0.3974 0.7203
Ag 0.6026 0.6026 0.2797
Ag 0.8008 0.8008 0.3746

Summary:
Energy of formation from the pure elements (eV/atom): 0.07
Total DFT energy (no corrections) (Ha/atom): -0.1175

Entry 2:
This record from OQMD via LeMat-Bulk describes an optimized crystal structure of Cu3Ag5. The functional is GGA-PBE.

a = 2.8624 Å, b = 7.6281 Å, c = 5.7735 Å
α = 90.00°, β = 90.00°, γ = 90.00°
Fractional positions:
Cu 0.0000 0.0000 0.0000
Cu 0.5000 0.2418 0.2204
Cu 0.5000 0.7582 0.2204
Ag 0.0000 0.0000 0.4568
Ag 0.0000 0.5000 0.4747
Ag 0.0000 0.5000 0.9940
Ag 0.5000 0.2356 0.7429
Ag 0.5000 0.7644 0.7429

Summary:
Energy of formation from the pure elements (eV/atom): 0.08
Total DFT energy (no corrections) (Ha/atom): -0.1130

Entry 3:
This record from OQMD via LeMat-Bulk describes an optimized crystal structure of Cu5Ag3. The functional is GGA-PBE.

a = 8.8363 Å, b = 2.7690 Å, c = 9.4644 Å
α = 90.00°, β = 100.81°, γ = 90.00°
Fractional positions:
Cu 0.0000 0.0000 0.0000
Cu 0.2417 0.5000 0.1124
Cu 0.2479 0.0000 0.3709
Cu 0.2521 0.5000 0.6291
Cu 0.2583 0.0000 0.8876
Cu 0.5000 0.5000 0.0000
Cu 0.7417 0.0000 0.1124
Cu 0.7479 0.5000 0.3709
Cu 0.7521 0.0000 0.6291
Cu 0.7583 0.5000 0.8876
Ag 0.0000 0.0000 0.5000
Ag 0.0047 0.5000 0.7619
Ag 0.4953 0.0000 0.2381
Ag 0.5000 0.5000 0.5000
Ag 0.5047 0.0000 0.7619
Ag 0.9953 0.5000 0.2381

Summary:
Energy of formation from the pure elements (eV/atom): 0.11
Total DFT energy (no corrections) (Ha/atom): -0.1204

Entry 4:
This record from OQMD via LeMat-Bulk describes an optimized crystal structure of Cu7Ag2. The functional is GGA-PBE.

a = 12.8390 Å, b = 12.8390 Å, c = 12.8390 Å
α = 167.87°, β = 164.54°, γ = 19.70°
Fractional positions:
Cu 0.0000 0.0000 0.0000
Cu 0.1015 0.1015 0.0000
Cu 0.3490 0.3490 0.0000
Cu 0.4495 0.4495 0.0000
Cu 0.5505 0.5505 0.0000
Cu 0.6510 0.6510 0.0000
Cu 0.8985 0.8985 0.0000
Ag 0.2129 0.2129 0.0000
Ag 0.7871 0.7871 0.0000

Summary:
Energy of formation from the pure elements (eV/atom): 0.05
Total DFT energy (no corrections) (Ha/atom): -0.1275

Entry 5:
This record from OQMD via LeMat-Bulk describes an optimized crystal structure of Cu3Ag2. The functional is GGA-PBE.

a = 2.7693 Å, b = 3.6663 Å, c = 14.0142 Å
α = 90.00°, β = 90.00°, γ = 90.00°
Fractional positions:
Cu 0.0000 0.0000 0.0000
Cu 0.0000 0.0000 0.1771
Cu 0.0000 0.0000 0.3817
Cu 0.0000 0.0000 0.7941
Cu 0.5000 0.5000 0.0885
Cu 0.5000 0.5000 0.7062
Ag 0.0000 0.0000 0.6034
Ag 0.5000 0.5000 0.2799
Ag 0.5000 0.5000 0.4841
Ag 0.5000 0.5000 0.8970

Summary:
Energy of formation from the pure elements (eV/atom): 0.09
Total DFT energy (no corrections) (Ha/atom): -0.1201

Entry 6:
This record from OQMD via LeMat-Bulk describes an optimized crystal structure of Cu3Ag2. The functional is GGA-PBE.

a = 3.9024 Å, b = 9.6528 Å, c = 9.6528 Å
α = 23.16°, β = 90.00°, γ = 90.00°
Fractional positions:
Cu 0.0000 0.0000 0.0000
Cu 0.0000 0.1786 0.1786
Cu 0.0000 0.5938 0.5938
Cu 0.5000 0.0942 0.0942
Cu 0.5000 0.6785 0.6785
Cu 0.5000 0.8948 0.8948
Ag 0.0000 0.3935 0.3935
Ag 0.0000 0.7812 0.7812
Ag 0.5000 0.2819 0.2819
Ag 0.5000 0.4980 0.4980

Summary:
Energy of formation from the pure elements (eV/atom): 0.08
Total DFT energy (no corrections) (Ha/atom): -0.1205

> What is the formula in the first record?

CuAg

> Look up the energy of formation from the pure elements of the third one.

0.11 eV/atom

> energy of formation from the pure elements of number 3 (Cu5Ag3)?

0.11 eV/atom

Repeat the fifth record exactly.
This record from OQMD via LeMat-Bulk describes an optimized crystal structure of Cu3Ag2. The functional is GGA-PBE.

a = 2.7693 Å, b = 3.6663 Å, c = 14.0142 Å
α = 90.00°, β = 90.00°, γ = 90.00°
Fractional positions:
Cu 0.0000 0.0000 0.0000
Cu 0.0000 0.0000 0.1771
Cu 0.0000 0.0000 0.3817
Cu 0.0000 0.0000 0.7941
Cu 0.5000 0.5000 0.0885
Cu 0.5000 0.5000 0.7062
Ag 0.0000 0.0000 0.6034
Ag 0.5000 0.5000 0.2799
Ag 0.5000 0.5000 0.4841
Ag 0.5000 0.5000 0.8970

Summary:
Energy of formation from the pure elements (eV/atom): 0.09
Total DFT energy (no corrections) (Ha/atom): -0.1201